Density functional theory data (PBE) for an optimized crystal structure of PrNd5Mg3.

For the electronic total energy, the calculation gives -3.3721 eV/atom.

The space group is C2/m (No. 12) and the conventional cell measures 13.614, 8.285 and 11.085 Å, with angles of 90.00, 97.11 and 90.00 degrees. Symmetry generates all atoms from Pr at (0.111, 0.000, 0.266), Nd at (0.000, 0.330, 0.000), Nd at (0.013, 0.500, 0.636), Nd at (0.149, 0.207, 0.725), Nd at (0.243, 0.000, 0.029), Mg at (0.000, 0.000, 0.000), Mg at (0.000, 0.000, 0.500), Mg at (0.156, 0.500, 0.211) and Mg at (0.221, 0.500, 0.489).

=====

Density functional theory data (PBE) for an optimized crystal structure of PrNd7Mg2.

For the electronic total energy, the calculation gives -3.9987 eV/atom.

The space group is P2/m (No. 10) and the conventional cell measures 8.918, 3.444 and 11.776 Å, with angles of 90.00, 111.12 and 90.00 degrees. Symmetry generates all atoms from Pr at (0.000, 0.000, 0.000), Nd at (0.000, 0.500, 0.500), Nd at (0.194, 0.500, 0.807), Nd at (0.220, 0.500, 0.309), Nd at (0.398, 0.000, 0.616) and Mg at (0.400, 0.500, 0.102).

=====

Density functional theory data (PBE) for an optimized crystal structure of Pr2Nd15Mg2.

For the electronic total energy, the calculation gives -4.2382 eV/atom.

The space group is R-3m (No. 166, hexagonal axes) and the conventional cell measures 11.4627, 11.4627 and 17.7259 Å, with angles of 90.00, 90.00 and 120.00 degrees. Symmetry generates all atoms from Pr at (0.0000, 0.0000, 0.1815), Nd at (0.0000, 0.2950, 0.5000), Nd at (0.0000, 0.5000, 0.0000), Nd at (0.0135, 0.5067, 0.6417) and Mg at (0.0000, 0.0000, 0.4070).

=====

Density functional theory data (PBE) for an optimized crystal structure of Pr3Nd4Mg2.

For the electronic total energy, the calculation gives -4.0606 eV/atom.

The space group is C2/m (No. 12) and the conventional cell measures 15.425, 5.132 and 7.987 Å, with angles of 90.00, 108.93 and 90.00 degrees. Symmetry generates all atoms from Pr at (0.000, 0.000, 0.000), Pr at (0.113, 0.000, 0.670), Nd at (0.055, 0.500, 0.330), Nd at (0.222, 0.000, 0.325) and Mg at (0.168, 0.500, 0.999).

=====

Density functional theory data (PBE) for an optimized crystal structure of PrNd2Mg4.

For the electronic total energy, the calculation gives -2.8455 eV/atom.

The space group is I4/mmm (No. 139) and the conventional cell measures 5.471, 5.471 and 15.017 Å, with angles of 90.00, 90.00 and 90.00 degrees. Symmetry generates all atoms from Pr at (0.000, 0.000, 0.000), Nd at (0.000, 0.000, 0.254) and Mg at (0.000, 0.500, 0.117).

=====

Density functional theory data (PBE) for an optimized crystal structure of PrNd4Mg.

For the electronic total energy, the calculation gives -4.2354 eV/atom.

The space group is C2/c (No. 15) and the conventional cell measures 10.873, 6.295 and 12.239 Å, with angles of 90.00, 107.26 and 90.00 degrees. Symmetry generates all atoms from Pr at (0.250, 0.250, 0.000), Nd at (0.081, 0.244, 0.501), Nd at (0.167, 0.417, 0.250) and Mg at (0.000, 0.082, 0.750).

=====

Density functional theory data (PBE) for an optimized crystal structure of Pr5Nd2Mg.

For the electronic total energy, the calculation gives -4.3870 eV/atom.

The space group is I4/mmm (No. 139) and the conventional cell measures 7.290, 7.290 and 10.267 Å, with angles of 90.00, 90.00 and 90.00 degrees. Symmetry generates all atoms from Pr at (0.000, 0.000, 0.000), Pr at (0.250, 0.250, 0.250), Nd at (0.000, 0.500, 0.000) and Mg at (0.000, 0.000, 0.500).

=====

Density functional theory data (PBE) for an optimized crystal structure of Pr5NdMg6.

For the electronic total energy, the calculation gives -3.3024 eV/atom.

The space group is Cmmm (No. 65) and the conventional cell measures 5.524, 16.574 and 7.843 Å, with angles of 90.00, 90.00 and 90.00 degrees. Symmetry generates all atoms from Pr at (0.000, 0.000, 0.000), Pr at (0.000, 0.333, 0.000), Pr at (0.000, 0.334, 0.500), Nd at (0.000, 0.000, 0.500), Mg at (0.000, 0.166, 0.251) and Mg at (0.000, 0.500, 0.251).

=====

Density functional theory data (PBE) for an optimized crystal structure of Pr3Nd4Mg.

For the electronic total energy, the calculation gives -4.3684 eV/atom.

The space group is Pmn2_1 (No. 31) and the conventional cell measures 11.723, 7.321 and 6.390 Å, with angles of 90.00, 90.00 and 90.00 degrees. Symmetry generates all atoms from Pr at (0.000, 0.127, 0.000), Pr at (0.241, 0.123, 0.653), Nd at (0.000, 0.388, 0.466), Nd at (0.000, 0.629, 0.993), Nd at (0.240, 0.631, 0.649) and Mg at (0.000, 0.880, 0.486).

=====

Density functional theory data (PBE) for an optimized crystal structure of Pr12Nd3Mg.

For the electronic total energy, the calculation gives -4.5699 eV/atom.

The space group is P4/mmm (No. 123) and the conventional cell measures 5.193, 5.193 and 20.906 Å, with angles of 90.00, 90.00 and 90.00 degrees. Symmetry generates all atoms from Pr at (0.000, 0.000, 0.000), Pr at (0.000, 0.000, 0.246), Pr at (0.000, 0.000, 0.500), Pr at (0.000, 0.500, 0.121), Pr at (0.000, 0.500, 0.373), Nd at (0.500, 0.500, 0.247), Nd at (0.500, 0.500, 0.500) and Mg at (0.500, 0.500, 0.000).

=====

Density functional theory data (PBE) for an optimized crystal structure of Pr7Nd2Mg.

For the electronic total energy, the calculation gives -3.9019 eV/atom.

The space group is Cmmm (No. 65) and the conventional cell measures 8.911, 16.424 and 5.649 Å, with angles of 90.00, 90.00 and 90.00 degrees. Symmetry generates all atoms from Pr at (0.000, 0.000, 0.000), Pr at (0.000, 0.276, 0.500), Pr at (0.180, 0.391, 0.000), Nd at (0.000, 0.207, 0.000) and Mg at (0.000, 0.500, 0.500).

=====

Density functional theory data (PBE) for an optimized crystal structure of Pr4Nd2Mg.

For the electronic total energy, the calculation gives -3.8311 eV/atom.

The space group is P-42m (No. 111) and the conventional cell measures 4.817, 4.817 and 11.544 Å, with angles of 90.00, 90.00 and 90.00 degrees. Symmetry generates all atoms from Pr at (0.240, 0.240, 0.234), Nd at (0.000, 0.500, 0.500) and Mg at (0.500, 0.500, 0.000).

=====

Density functional theory data (PBE) for an optimized crystal structure of Pr2Nd8Mg.

For the electronic total energy, the calculation gives -4.3615 eV/atom.

The space group is C2/m (No. 12) and the conventional cell measures 16.528, 6.871 and 6.945 Å, with angles of 90.00, 102.72 and 90.00 degrees. Symmetry generates all atoms from Pr at (0.183, 0.000, 0.291), Nd at (0.079, 0.263, 0.887), Nd at (0.098, 0.500, 0.425), Nd at (0.243, 0.000, 0.809) and Mg at (0.000, 0.000, 0.500).

=====

Density functional theory data (PBE) for an optimized crystal structure of Pr6NdMg2.

For the electronic total energy, the calculation gives -3.9914 eV/atom.

The space group is Cmcm (No. 63) and the conventional cell measures 19.470, 11.998 and 5.218 Å, with angles of 90.00, 90.00 and 90.00 degrees. Symmetry generates all atoms from Pr at (0.087, 0.086, 0.250), Pr at (0.100, 0.392, 0.250), Pr at (0.185, 0.206, 0.750), Nd at (0.000, 0.254, 0.750) and Mg at (0.243, 0.451, 0.750).

=====

Density functional theory data (PBE) for an optimized crystal structure of Pr4Nd2Mg.

For the electronic total energy, the calculation gives -4.1608 eV/atom.

The space group is Imma (No. 74) and the conventional cell measures 6.935, 11.613 and 12.272 Å, with angles of 90.00, 90.00 and 90.00 degrees. Symmetry generates all atoms from Pr at (0.000, 0.015, 0.153), Pr at (0.223, 0.250, 0.992), Nd at (0.000, 0.000, 0.500), Nd at (0.000, 0.250, 0.718) and Mg at (0.250, 0.250, 0.250).

=====

Density functional theory data (PBE) for an optimized crystal structure of PrNdMg.

For the electronic total energy, the calculation gives -3.6935 eV/atom.

The space group is P3m1 (No. 156) and the conventional cell measures 5.5994, 5.5994 and 3.4866 Å, with angles of 90.00, 90.00 and 120.00 degrees. Symmetry generates all atoms from Pr at (0.0000, 0.0000, 0.0000), Nd at (0.6667, 0.3333, 0.4315) and Mg at (0.3333, 0.6667, 0.7105).

=====

Density functional theory data (PBE) for an optimized crystal structure of PrNd2Mg8.

For the electronic total energy, the calculation gives -2.4463 eV/atom.

The space group is Immm (No. 71) and the conventional cell measures 5.289, 7.401 and 15.458 Å, with angles of 90.00, 90.00 and 90.00 degrees. Symmetry generates all atoms from Pr at (0.000, 0.000, 0.000), Nd at (0.000, 0.000, 0.306), Mg at (0.000, 0.215, 0.500), Mg at (0.000, 0.286, 0.148) and Mg at (0.000, 0.500, 0.339).

=====

Density functional theory data (PBE) for an optimized crystal structure of Pr3Nd5Mg.

For the electronic total energy, the calculation gives -4.0894 eV/atom.

The space group is C2/m (No. 12) and the conventional cell measures 11.526, 8.354 and 13.818 Å, with angles of 90.00, 91.13 and 90.00 degrees. Symmetry generates all atoms from Pr at (0.000, 0.000, 0.000), Pr at (0.000, 0.000, 0.500), Pr at (0.135, 0.500, 0.010), Pr at (0.242, 0.000, 0.381), Nd at (0.000, 0.327, 0.500), Nd at (0.003, 0.500, 0.756), Nd at (0.241, 0.222, 0.164), Nd at (0.246, 0.000, 0.626) and Mg at (0.006, 0.000, 0.753).

=====

Density functional theory data (PBE) for an optimized crystal structure of Pr7Nd12Mg.

For the electronic total energy, the calculation gives -4.4362 eV/atom.

The space group is R-3 (No. 148, hexagonal axes) and the conventional cell measures 12.4406, 12.4406 and 15.9686 Å, with angles of 90.00, 90.00 and 120.00 degrees. Symmetry generates all atoms from Pr at (0.0000, 0.0000, 0.0000), Pr at (0.0560, 0.1859, 0.2957), Nd at (0.0314, 0.4504, 0.2142), Nd at (0.0555, 0.5863, 0.5840) and Mg at (0.0000, 0.0000, 0.5000).

=====

Density functional theory data (PBE) for an optimized crystal structure of Pr2Nd2Mg.

For the electronic total energy, the calculation gives -3.7739 eV/atom.

The space group is I4/mmm (No. 139) and the conventional cell measures 4.531, 4.531 and 17.834 Å, with angles of 90.00, 90.00 and 90.00 degrees. Symmetry generates all atoms from Pr at (0.000, 0.000, 0.090), Nd at (0.000, 0.500, 0.250) and Mg at (0.000, 0.000, 0.500).

=====

Number 1: ΔE_f 0.3393 eV per atom. Number 2: ΔE_f 0.1357 eV per atom. Number 3: ΔE_f 0.1969 eV per atom. Number 4: ΔE_f 0.0060 eV per atom. Number 5: ΔE_f 0.1107 eV per atom. Number 6: ΔE_f 0.0055 eV per atom. Number 7: ΔE_f -0.0086 eV per atom. Number 8: ΔE_f -0.1163 eV per atom. Number 9: ΔE_f 0.0072 eV per atom. Number 10: ΔE_f 0.0084 eV per atom. Number 11: ΔE_f 0.5568 eV per atom. Number 12: ΔE_f 0.4901 eV per atom. Number 13: ΔE_f 0.1200 eV per atom. Number 14: ΔE_f 0.0790 eV per atom. Number 15: ΔE_f 0.1604 eV per atom. Number 16: ΔE_f 0.0205 eV per atom. Number 17: ΔE_f 0.0148 eV per atom. Number 18: ΔE_f 0.3298 eV per atom. Number 19: ΔE_f 0.1770 eV per atom. Number 20: ΔE_f 0.3639 eV per atom.